Below is a relaxed structure of CsKPd3, with properties calculated at the PBE level.

a = 5.5062 Å, b = 5.5062 Å, c = 5.5062 Å
α = 90.00°, β = 90.00°, γ = 90.00°
Last column: nearest neighbours and their distance in Å.
Atoms (fractional coordinates):
Cs  0.0000  0.0000  0.0000  6 Pd 2.75
K  0.5000  0.5000  0.5000  12 Pd 3.89
Pd  0.0000  0.5000  0.0000  2 Cs 2.75
Pd  0.0000  0.0000  0.5000  2 Cs 2.75
Pd  0.5000  0.0000  0.0000  2 Cs 2.75

Computed properties:
* formation enthalpy at 0 K: 0.92 eV/atom
* ΔE to the lowest computed polymorph: 27 meV per atom
* V: 33.4 Å³ per atom

Below is a relaxed structure of Pr4Si3Ge, with properties calculated at the PBE level.

a = 4.5140 Å, b = 4.0000 Å, c = 11.0971 Å
α = 90.00°, β = 90.00°, γ = 90.00°
Last column: nearest neighbours and their distance in Å.
Atoms (fractional coordinates):
Pr  0.5000  0.5000  0.3618  6 Si 3.11-3.24, 1 Ge 3.19
Pr  0.0000  0.5000  0.8586  5 Si 3.10-3.19, 2 Ge 3.29
Pr  0.0000  0.0000  0.1407  4 Ge 3.10, 3 Si 3.20-3.29
Pr  0.5000  0.0000  0.6398  7 Si 3.11-3.25
Si  0.0000  0.5000  0.5709  2 Si 2.55
Si  0.0000  0.0000  0.4289  2 Si 2.55
Si  0.5000  0.0000  0.9245  2 Ge 2.60
Ge  0.5000  0.5000  0.0747  2 Si 2.60

Computed properties:
* E_form (uncorrected): -0.758 eV per atom
* V: 25.0 Å³ per atom

Below is a relaxed structure of BaNbAlPt2, with properties calculated at the PBE level.

a = 5.0526 Å, b = 5.1157 Å, c = 5.0526 Å
α = 90.00°, β = 90.00°, γ = 90.00°
Last column: nearest neighbours and their distance in Å.
Atoms (fractional coordinates):
Nb  0.0000  0.0000  0.0000  4 Pt 2.53, 2 Al 2.56
Ba  0.5000  0.5000  0.5000  4 Al 3.57, 8 Pt 3.60
Pt  0.0000  0.0000  0.5000  2 Nb 2.53
Pt  0.5000  0.0000  0.0000  2 Nb 2.53
Al  0.0000  0.5000  0.0000  2 Nb 2.56

Computed properties:
* formation enthalpy at 0 K: -0.02 eV/atom
* V: 26.1 Å³ per atom

Repeat the first record exactly.
Below is a relaxed structure of CsKPd3, with properties calculated at the PBE level.

a = 5.5062 Å, b = 5.5062 Å, c = 5.5062 Å
α = 90.00°, β = 90.00°, γ = 90.00°
Last column: nearest neighbours and their distance in Å.
Atoms (fractional coordinates):
Cs  0.0000  0.0000  0.0000  6 Pd 2.75
K  0.5000  0.5000  0.5000  12 Pd 3.89
Pd  0.0000  0.5000  0.0000  2 Cs 2.75
Pd  0.0000  0.0000  0.5000  2 Cs 2.75
Pd  0.5000  0.0000  0.0000  2 Cs 2.75

Computed properties:
* formation enthalpy at 0 K: 0.92 eV/atom
* ΔE to the lowest computed polymorph: 27 meV per atom
* V: 33.4 Å³ per atom